1.
# La5PrTl6 (PBE-GGA, relaxed)
# E_form = -0.418 eV per atom
# Magnetization = 0.00 μB per cell
# Calculated volume = 378 Å³ per cell
data_La5PrTl6
_cell_length_a 5.630
_cell_length_b 7.948
_cell_length_c 9.717
_cell_angle_alpha 114.08
_cell_angle_beta 106.38
_cell_angle_gamma 90.03
_symmetry_space_group_name_H-M 'P -1'
_symmetry_Int_Tables_number 2
_symmetry_space_group_name_Hall '-P 1'
loop_
_atom_site_label
_atom_site_type_symbol
_atom_site_fract_x
_atom_site_fract_y
_atom_site_fract_z
La1 La 0.000 0.000 0.000
La2 La 0.330 0.330 0.660
La3 La 0.335 0.835 0.670
Pr1 Pr 0.000 0.500 0.000
Tl1 Tl 0.165 0.419 0.330
Tl2 Tl 0.165 0.912 0.331
Tl3 Tl 0.499 0.257 0.000

***

2.
# RuAuSe2 (PBE-GGA, relaxed)
# Energy relative to the elements, uncorrected = -0.088 eV/atom
# Magnetization = 0.00 μB per cell
# Calculated volume = 267 Å³ per cell
data_RuAuSe2
_cell_length_a 3.6958
_cell_length_b 3.6958
_cell_length_c 22.5527
_cell_angle_alpha 90.00
_cell_angle_beta 90.00
_cell_angle_gamma 120.00
_symmetry_space_group_name_H-M 'R -3 m'
_symmetry_Int_Tables_number 166
_symmetry_space_group_name_Hall '-R 3 2"'
loop_
_atom_site_label
_atom_site_type_symbol
_atom_site_fract_x
_atom_site_fract_y
_atom_site_fract_z
Ru1 Ru 0.0000 0.0000 0.0000
Au1 Au 0.0000 0.0000 0.5000
Se1 Se 0.0000 0.0000 0.3911

***

3.
# Ag3SI (PBE-GGA, relaxed)
# Energy relative to the elements, uncorrected = -0.071 eV/atom
# Magnetization = 0.00 μB per cell
# Calculated volume = 243 Å³ per cell
data_Ag3SI
_cell_length_a 4.935
_cell_length_b 7.058
_cell_length_c 6.971
_cell_angle_alpha 90.00
_cell_angle_beta 90.49
_cell_angle_gamma 90.00
_symmetry_space_group_name_H-M 'P 1 21 1'
_symmetry_Int_Tables_number 4
_symmetry_space_group_name_Hall 'P 2yb'
loop_
_atom_site_label
_atom_site_type_symbol
_atom_site_fract_x
_atom_site_fract_y
_atom_site_fract_z
Ag1 Ag 0.070 0.000 0.345
Ag2 Ag 0.399 0.853 0.981
Ag3 Ag 0.425 0.356 0.440
S1 S 0.434 0.566 0.745
I1 I 0.011 0.584 0.224

***

4.
# Zr13Pa3 (PBE-GGA, relaxed)
# E_form = 0.054 eV per atom
# Magnetization = 0.00 μB per cell
# Calculated volume = 755 Å³ per cell
data_Zr13Pa3
_cell_length_a 9.139
_cell_length_b 9.244
_cell_length_c 8.941
_cell_angle_alpha 90.00
_cell_angle_beta 90.00
_cell_angle_gamma 90.00
_symmetry_space_group_name_H-M 'A m m 2'
_symmetry_Int_Tables_number 38
_symmetry_space_group_name_Hall 'A 2 -2'
loop_
_atom_site_label
_atom_site_type_symbol
_atom_site_fract_x
_atom_site_fract_y
_atom_site_fract_z
Zr1 Zr 0.000 0.000 0.000
Zr2 Zr 0.000 0.000 0.511
Zr3 Zr 0.000 0.238 0.255
Zr4 Zr 0.245 0.000 0.757
Zr5 Zr 0.246 0.243 0.502
Zr6 Zr 0.500 0.000 0.484
Zr7 Zr 0.500 0.222 0.758
Pa1 Pa 0.264 0.000 0.242
Pa2 Pa 0.500 0.000 0.029

***

5.
# Pm3Hg2Pd (PBE-GGA, relaxed)
# E_form = -0.574 eV per atom
# Magnetization = 0.14 μB per cell
# Calculated volume = 157 Å³ per cell
data_Pm3Hg2Pd
_cell_length_a 3.743
_cell_length_b 3.743
_cell_length_c 11.201
_cell_angle_alpha 90.00
_cell_angle_beta 90.00
_cell_angle_gamma 90.00
_symmetry_space_group_name_H-M 'P 4/m m m'
_symmetry_Int_Tables_number 123
_symmetry_space_group_name_Hall '-P 4 2'
loop_
_atom_site_label
_atom_site_type_symbol
_atom_site_fract_x
_atom_site_fract_y
_atom_site_fract_z
Pm1 Pm 0.000 0.000 0.000
Pm2 Pm 0.000 0.000 0.348
Hg1 Hg 0.500 0.500 0.171
Pd1 Pd 0.500 0.500 0.500

***

6.
# ScTlGe3 (PBE-GGA, relaxed)
# E_form = 0.322 eV per atom
# Magnetization = 0.00 μB per cell
# Calculated volume = 140 Å³ per cell
data_ScTlGe3
_cell_length_a 5.192
_cell_length_b 5.192
_cell_length_c 5.192
_cell_angle_alpha 90.00
_cell_angle_beta 90.00
_cell_angle_gamma 90.00
_symmetry_space_group_name_H-M 'P m -3 m'
_symmetry_Int_Tables_number 221
_symmetry_space_group_name_Hall '-P 4 2 3'
loop_
_atom_site_label
_atom_site_type_symbol
_atom_site_fract_x
_atom_site_fract_y
_atom_site_fract_z
Sc1 Sc 0.000 0.000 0.000
Tl1 Tl 0.500 0.500 0.500
Ge1 Ge 0.000 0.000 0.500